Entry 1:
The following is a PBE calculation of an optimized crystal structure of P2PtBr, from Alexandria.

Cell: 3.371 4.251 7.315 Å, 97.96 90.00 90.00°
Element x y z (fractional)
Pt1 0.000 0.550 0.398
P1 0.500 0.280 0.159
P2 0.000 0.012 0.266
Br1 0.500 0.657 0.676

Entry 2:
The following is a PBE calculation of an optimized crystal structure of PPt2Br, from Alexandria.

Cell: 3.439 3.439 7.249 Å, 76.15 76.15 59.92°
Element x y z (fractional)
P1 0.750 0.750 0.750
Pt1 0.484 0.484 0.551
Pt2 0.016 0.016 0.949
Br1 0.250 0.250 0.250

| no. | formation energy from raw total energies (meV per atom) | DOS(E_F) (states/eV/f.u.) | energy (eV per atom) |
| --- | --- | --- | --- |
| 1 | -55 | 1.6 | -4.688 |
| 2 | -67 | 1.5 | -4.858 |